Version one
A relaxed structure of CdH2O2, computed with PBEsol.

```
data_CdH2O2
_chemical_formula_sum 'Cd1 H2 O2'
_cell_length_a 3.512
_cell_length_b 3.512
_cell_length_c 4.560
_cell_angle_alpha 90.00
_cell_angle_beta 90.00
_cell_angle_gamma 120.00
_symmetry_space_group_name_H-M 'P 1'
_symmetry_Int_Tables_number 1
_symmetry_space_group_name_Hall 'P 1'
loop_
_atom_site_label
_atom_site_type_symbol
_atom_site_fract_x
_atom_site_fract_y
_atom_site_fract_z
H1 H 0.333 0.667 0.457
H2 H 0.667 0.333 0.543
O1 O 0.333 0.667 0.242
O2 O 0.667 0.333 0.758
Cd1 Cd 0.000 0.000 0.000
```

Summary:
SG: No. 164
total magnetization: 0.00 Bohr magnetons per cell

***

Version two
A relaxed structure of CdH2O2, computed with PBEsol.

```
data_CdH2O2
_chemical_formula_sum 'Cd2 H4 O4'
_cell_length_a 3.425
_cell_length_b 5.697
_cell_length_c 6.042
_cell_angle_alpha 118.60
_cell_angle_beta 107.19
_cell_angle_gamma 88.53
_symmetry_space_group_name_H-M 'P 1'
_symmetry_Int_Tables_number 1
_symmetry_space_group_name_Hall 'P 1'
loop_
_atom_site_label
_atom_site_type_symbol
_atom_site_fract_x
_atom_site_fract_y
_atom_site_fract_z
H1 H 0.852 0.348 0.735
H2 H 0.117 0.613 0.265
H3 H 0.640 0.291 0.000
H4 H 0.498 0.696 0.000
O1 O 0.207 0.797 0.429
O2 O 0.778 0.368 0.571
O3 O 0.927 0.292 0.000
O4 O 0.487 0.868 0.000
Cd1 Cd 0.152 0.126 0.313
Cd2 Cd 0.839 0.813 0.687
```

Summary:
SG: No. 8
total magnetization: 0.00 Bohr magnetons per cell

***

Which of them is least stable? Easy: version one.